{
  "formula": "Pr3Dy6Er2",
  "functional": "PBE",
  "state": "optimized geometry",
  "lattice_angstrom": [[-3.2983, 0.4531, 3.4180], [-0.2705, -4.7495, 0.3685], [13.7807, 2.3610, 9.6546]],
  "species": ["Dy", "Dy", "Dy", "Pr", "Dy", "Er", "Er", "Pr", "Dy", "Dy", "Pr"],
  "fractional_positions": [[0.6197, 0.1197, 0.2394], [0.6916, 0.6916, 0.3832], [0.3084, 0.3084, 0.6168], [0.7956, 0.7956, 0.5912], [0.8803, 0.3803, 0.7606], [0.4539, 0.4539, 0.9078], [0.5461, 0.5461, 0.0922], [0.0000, 0.0000, 0.0000], [0.3803, 0.8803, 0.7606], [0.1197, 0.6197, 0.2394], [0.2044, 0.2044, 0.4088]],
  "sg": "I4/mmm (139)",
  "energy_ev_per_atom": -4.370,
  "magnetic_moment_mub_per_atom": 0.00,
  "ef_ev_per_fu": 3.0,
  "mass_density_g_cm3": 7.59
}



{
  "formula": "Pr2Dy5Er2",
  "functional": "PBE",
  "state": "optimized geometry",
  "lattice_angstrom": [[3.4196, 0.0000, -0.7053], [-0.4842, 7.8577, -2.3476], [0.7338, -2.9499, 12.1999]],
  "species": ["Dy", "Pr", "Pr", "Er", "Dy", "Er", "Dy", "Dy", "Dy"],
  "fractional_positions": [[0.9056, 0.5433, 0.8112], [0.1803, 0.2167, 0.3605], [0.8197, 0.7833, 0.6395], [0.4530, 0.2623, 0.9059], [0.0000, 0.0000, 0.0000], [0.5470, 0.7377, 0.0941], [0.0944, 0.4567, 0.1888], [0.3096, 0.1517, 0.6191], [0.6904, 0.8483, 0.3809]],
  "sg": "C2/m (12)",
  "e_above_lowest_polymorph_mev_per_atom": 57,
  "energy_ev_per_atom": -4.411,
  "magnetic_moment_mub_per_atom": 0.00,
  "ef_ev_per_fu": 2.0,
  "mass_density_g_cm3": 7.72
}



{
  "formula": "Pr6Dy12Er",
  "functional": "PBE",
  "state": "optimized geometry",
  "lattice_angstrom": [[-2.3942, 5.4807, 6.4296], [-7.6139, -0.3478, -4.3609], [-0.6341, -7.5741, 4.3979]],
  "species": ["Pr", "Dy", "Dy", "Er", "Dy", "Dy", "Dy", "Pr", "Dy", "Dy", "Pr", "Dy", "Pr", "Dy", "Dy", "Dy", "Pr", "Dy", "Pr"],
  "fractional_positions": [[0.9037, 0.3425, 0.9037], [0.7566, 0.2434, 0.5000], [0.7566, 0.5000, 0.2434], [0.0000, 0.0000, 0.0000], [0.6447, 0.9183, 0.6447], [0.5000, 0.2434, 0.7566], [0.5000, 0.7566, 0.2434], [0.0963, 0.6575, 0.0963], [0.0817, 0.3553, 0.3553], [0.6447, 0.6447, 0.9183], [0.0963, 0.0963, 0.6575], [0.3553, 0.0817, 0.3553], [0.6575, 0.0963, 0.0963], [0.2434, 0.7566, 0.5000], [0.2434, 0.5000, 0.7566], [0.3553, 0.3553, 0.0817], [0.9037, 0.9037, 0.3425], [0.9183, 0.6447, 0.6447], [0.3425, 0.9037, 0.9037]],
  "sg": "R-3m (166)",
  "e_above_lowest_polymorph_mev_per_atom": 89,
  "energy_ev_per_atom": -4.441,
  "magnetic_moment_mub_per_atom": 0.00,
  "ef_ev_per_fu": 4.1,
  "mass_density_g_cm3": 7.56
}



{
  "formula": "Pr12DyEr3",
  "functional": "PBE",
  "state": "optimized geometry",
  "lattice_angstrom": [[-3.5068, 0.3790, 3.7957], [-1.8271, -4.6929, -1.2195], [13.3650, -8.6361, 13.2099]],
  "species": ["Pr", "Pr", "Pr", "Er", "Pr", "Pr", "Pr", "Pr", "Dy", "Pr", "Er", "Pr", "Pr", "Pr", "Er", "Pr"],
  "fractional_positions": [[0.0000, 0.5000, 0.3751], [0.5000, 0.5000, 0.7497], [0.0000, 0.5000, 0.6249], [0.0000, 0.0000, 0.7497], [0.5000, 0.0000, 0.3751], [0.0000, 0.5000, 0.8746], [0.0000, 0.5000, 0.1254], [0.5000, 0.5000, 0.5000], [0.0000, 0.0000, 0.0000], [0.5000, 0.0000, 0.6249], [0.0000, 0.0000, 0.2503], [0.5000, 0.0000, 0.1254], [0.5000, 0.5000, 0.2503], [0.5000, 0.0000, 0.8746], [0.0000, 0.0000, 0.5000], [0.5000, 0.5000, 0.0000]],
  "sg": "P4/mmm (123)",
  "energy_ev_per_atom": -4.716,
  "magnetic_moment_mub_per_atom": 0.00,
  "ef_ev_per_fu": 0.2,
  "mass_density_g_cm3": 7.04
}



{
  "formula": "Pr12Dy5Er",
  "functional": "PBE",
  "state": "optimized geometry",
  "lattice_angstrom": [[15.4677, 0.0000, 0.0111], [7.7338, 7.7706, 0.0055], [-0.0036, 0.0000, 5.1845]],
  "species": ["Pr", "Pr", "Pr", "Dy", "Pr", "Pr", "Pr", "Pr", "Dy", "Pr", "Er", "Pr", "Pr", "Dy", "Pr", "Dy", "Pr", "Dy"],
  "fractional_positions": [[0.3310, 0.6667, 0.0000], [0.6650, 0.0000, 0.9999], [0.8314, 0.6667, 0.5000], [0.1666, 0.6668, 0.5000], [0.8359, 0.0000, 0.4999], [0.4981, 0.3333, 0.5000], [0.0023, 0.6667, 0.0000], [0.6690, 0.3333, 0.0000], [0.3336, 0.3329, 0.0000], [0.9977, 0.3333, 0.0000], [0.0000, 0.0000, 0.0000], [0.1641, 0.0000, 0.5001], [0.5019, 0.6667, 0.5000], [0.8334, 0.3332, 0.5000], [0.3350, 0.0000, 0.0001], [0.5000, 0.0000, 0.5000], [0.1686, 0.3333, 0.5000], [0.6664, 0.6672, 0.0000]],
  "sg": "Cmmm (65)",
  "energy_ev_per_atom": -4.696,
  "magnetic_moment_mub_per_atom": 0.00,
  "ef_ev_per_fu": 0.4,
  "mass_density_g_cm3": 7.12
}



{
  "formula": "Pr6Dy3Er2",
  "functional": "PBE",
  "state": "optimized geometry",
  "lattice_angstrom": [[-5.6197, 3.8206, 1.4727], [0.5795, -5.4472, 2.8244], [-0.7519, 8.0331, 8.9981]],
  "species": ["Dy", "Pr", "Er", "Pr", "Pr", "Dy", "Pr", "Pr", "Pr", "Dy", "Er"],
  "fractional_positions": [[0.1877, 0.9754, 0.6325], [0.2742, 0.4367, 0.4526], [0.5559, 0.6847, 0.8984], [0.9265, 0.5110, 0.1813], [0.3763, 0.8984, 0.2732], [0.8123, 0.0246, 0.3675], [0.7258, 0.5633, 0.5474], [0.6237, 0.1016, 0.7268], [0.0735, 0.4890, 0.8187], [0.0000, 0.0000, 0.0000], [0.4441, 0.3153, 0.1016]],
  "sg": "P-1 (2)",
  "e_above_lowest_polymorph_mev_per_atom": 0,
  "energy_ev_per_atom": -4.611,
  "magnetic_moment_mub_per_atom": 0.00,
  "ef_ev_per_fu": 0.9,
  "mass_density_g_cm3": 7.37
}